Here is an optimized crystal structure of BeCu2HRh from the Alexandria database. Energies are from PBE-GGA.

The structure belongs to space group P4/mmm (No. 123); the cell edges are 3.572, 3.572 and 3.889 Å and the angles 90.00°, 90.00° and 90.00°. Symmetry generates all atoms from Be at (0.000, 0.000, 0.000), Cu at (0.000, 0.500, 0.500), H at (0.500, 0.500, 0.500) and Rh at (0.500, 0.500, 0.000).

The value obtained for the total DFT energy (no corrections) is -4.62 eV per atom.

Here is an optimized crystal structure of Be2CuHRh from the Alexandria database. Energies are from PBE-GGA.

The structure belongs to space group P4/mmm (No. 123); the cell edges are 3.695, 3.695 and 3.370 Å and the angles 90.00°, 90.00° and 90.00°. Symmetry generates all atoms from Be at (0.000, 0.500, 0.000), Cu at (0.000, 0.000, 0.500), H at (0.500, 0.500, 0.000) and Rh at (0.500, 0.500, 0.500).

Its offset from the most stable computed form is 13.7 meV per atom.

Here is an optimized crystal structure of Be2CuHRu from the Alexandria database. Energies are from PBE-GGA.

The structure belongs to space group P4/mmm (No. 123); the cell edges are 3.689, 3.689 and 3.364 Å and the angles 90.00°, 90.00° and 90.00°. Symmetry generates all atoms from Be at (0.000, 0.500, 0.000), Cu at (0.000, 0.000, 0.500), H at (0.500, 0.500, 0.000) and Ru at (0.500, 0.500, 0.500).

The value obtained for the total DFT energy (no corrections) is -4.87 eV per atom.

Here is an optimized crystal structure of BeCuSn2H from the Alexandria database. Energies are from PBE-GGA.

The structure belongs to space group P4/mmm (No. 123); the cell edges are 5.124, 5.124 and 3.168 Å and the angles 90.00°, 90.00° and 90.00°. Symmetry generates all atoms from Be at (0.000, 0.000, 0.000), Cu at (0.500, 0.500, 0.000), Sn at (0.000, 0.500, 0.500) and H at (0.500, 0.500, 0.500).

The value obtained for the total DFT energy (no corrections) is -3.33 eV per atom.

Number 1: volume 49.6 Å³ per cell. Number 2: volume 46.0 Å³ per cell. Number 3: volume 45.8 Å³ per cell. Number 4: volume 83.2 Å³ per cell.